Compound: KTcCl2
Source: the Alexandria database
Functional: PBEsol
Structure: optimized geometry

Properties
Energy relative to the elements, uncorrected   -121 kJ/mol of formula units
D(E_F)   1.28 states/eV/f.u.
Energy relative to the lowest polymorph listed for this composition   59 meV/atom
ρ   3.65 g/cm³
Space-group type   Immm, No. 71

CIF file:
```
data_KTcCl2
_chemical_formula_sum 'K1 Tc1 Cl2'
_symmetry_space_group_name_H-M 'P 1'
_symmetry_Int_Tables_number 1
_cell_length_a 5.673
_cell_length_b 5.673
_cell_length_c 5.673
_cell_angle_alpha 144.77
_cell_angle_beta 113.21
_cell_angle_gamma 77.82
loop_
_symmetry_equiv_pos_as_xyz
'x,y,z'
loop_
_atom_site_label
_atom_site_type_symbol
_atom_site_fract_x
_atom_site_fract_y
_atom_site_fract_z
K1 K 0.000 0.000 0.000
Tc1 Tc 0.500 0.500 0.000
Cl1 Cl 0.315 0.815 0.500
Cl2 Cl 0.685 0.185 0.500
```

---

Compound: KRuCl2
Source: the Alexandria database
Functional: PBEsol
Structure: optimized geometry

Properties
Energy relative to the elements, uncorrected   -49 kJ/mol of formula units
D(E_F)   2.03 states/eV/f.u.
ρ   4.42 g/cm³
Space-group type   P4/mmm, No. 123

CIF file:
```
data_KRuCl2
_chemical_formula_sum 'K1 Ru1 Cl2'
_symmetry_space_group_name_H-M 'P 1'
_symmetry_Int_Tables_number 1
_cell_length_a 4.964
_cell_length_b 4.964
_cell_length_c 3.221
_cell_angle_alpha 90.00
_cell_angle_beta 90.00
_cell_angle_gamma 90.00
loop_
_symmetry_equiv_pos_as_xyz
'x,y,z'
loop_
_atom_site_label
_atom_site_type_symbol
_atom_site_fract_x
_atom_site_fract_y
_atom_site_fract_z
K1 K 0.000 0.000 0.000
Ru1 Ru 0.500 0.500 0.000
Cl1 Cl 0.000 0.500 0.500
Cl2 Cl 0.500 0.000 0.500
```